[1]
DFT (PBE) results for crystalline Mg2ZnSe at its relaxed geometry.

Cell: 4.773 4.773 8.700 Å, 90.00 90.00 120.00°
Element x y z (fractional)
Mg: 0.333 0.667 0.081
Mg: 0.333 0.667 0.419
Mg: 0.667 0.333 0.581
Mg: 0.667 0.333 0.919
Zn: 0.333 0.667 0.750
Zn: 0.667 0.333 0.250
Se: 0.000 0.000 0.250
Se: 0.000 0.000 0.750

Calculated values
Raw total energy = -16.816 eV per cell
Energy above the lowest structure with this stoichiometry = 0.3710 eV per atom
Density of states at the Fermi level = 2.64 states/eV/cell

=====

[2]
DFT (PBE) results for crystalline Mg2ZnSe at its relaxed geometry.

Cell: 6.807 6.807 6.694 Å, 90.00 90.00 148.26°
Element x y z (fractional)
Mg: 0.119 0.881 0.505
Mg: 0.119 0.881 0.995
Mg: 0.881 0.119 0.005
Mg: 0.881 0.119 0.495
Zn: 0.485 0.515 0.250
Zn: 0.515 0.485 0.750
Se: 0.293 0.707 0.750
Se: 0.707 0.293 0.250

Calculated values
Raw total energy = -19.784 eV per cell
Energy above the lowest structure with this stoichiometry = 0.0000 eV per atom
Density of states at the Fermi level = 1.61 states/eV/cell

=====

[3]
DFT (PBE) results for crystalline Mg2Zn2Se at its relaxed geometry.

Cell: 5.461 5.461 7.825 Å, 90.00 90.00 76.62°
Element x y z (fractional)
Mg: 0.207 0.207 0.000
Mg: 0.207 0.207 0.500
Mg: 0.793 0.793 0.000
Mg: 0.793 0.793 0.500
Zn: 0.344 0.656 0.589
Zn: 0.344 0.656 0.911
Zn: 0.656 0.344 0.089
Zn: 0.656 0.344 0.411
Se: 0.087 0.913 0.250
Se: 0.913 0.087 0.750

Calculated values
Raw total energy = -20.091 eV per cell
Energy above the lowest structure with this stoichiometry = 0.1787 eV per atom
Density of states at the Fermi level = 2.55 states/eV/cell

=====

no.,E_form (uncorrected) (eV/atom)
1,-0.115
2,-0.486
3,-0.165